(1)
This record from Alexandria describes a relaxed structure of K2CeS2I2. The functional is GGA-PBE.

The value obtained for the raw formation energy is -1.52 eV/atom. Its energy is -4.31 eV/atom.

It has space group I4/mmm (No. 139), with a = 5.332 Å, b = 5.332 Å, c = 18.145 Å, α = 90.00°, β = 90.00° and γ = 90.00°. The inequivalent atoms are K at (0.000, 0.000, 0.122), Ce at (0.000, 0.000, 0.500), S at (0.000, 0.500, 0.000) and I at (0.000, 0.000, 0.327).

(2)
This record from Alexandria describes a relaxed structure of KBaMnRh2. The functional is GGA-PBE.

Its energy is -3.88 eV/atom. Its formation enthalpy at 0 K is 1495.8 meV per atom. As for the density of states at the Fermi level: 0.782 states/eV per atom.

It has space group P4/mmm (No. 123), with a = 5.217 Å, b = 5.217 Å, c = 5.857 Å, α = 90.00°, β = 90.00° and γ = 90.00°. The inequivalent atoms are K at (0.000, 0.000, 0.000), Ba at (0.000, 0.000, 0.500), Mn at (0.500, 0.500, 0.000) and Rh at (0.000, 0.500, 0.500).

(3)
This record from Alexandria describes a relaxed structure of MgBe2Al. The functional is GGA-PBE.

The energy above the lowest structure with this stoichiometry is 0.064 eV per atom. Its energy is -3.08 eV/atom. Its formation enthalpy at 0 K is 112.6 meV per atom. As for the density of states at the Fermi level: 0.243 states/eV per atom.

It has space group P1 (No. 1), with a = 3.649 Å, b = 4.385 Å, c = 7.405 Å, α = 74.97°, β = 77.35° and γ = 89.99°. The inequivalent atoms are Mg at (0.000, 0.000, 0.000), Mg at (0.180, 0.693, 0.665), Be at (0.290, 0.305, 0.435), Be at (0.359, 0.871, 0.287), Be at (0.824, 0.590, 0.361), Be at (0.829, 0.096, 0.350), Al at (0.454, 0.457, 0.092) and Al at (0.672, 0.190, 0.679).

(4)
This record from Alexandria describes a relaxed structure of BiSbO3. The functional is GGA-PBE.

The value obtained for the raw formation energy is -1.19 eV/atom. Its energy is -5.77 eV/atom. As for the density of states at the Fermi level: 0.000 states/eV per atom.

It has space group P2_1/m (No. 11), with a = 4.083 Å, b = 6.049 Å, c = 7.272 Å, α = 90.00°, β = 94.28° and γ = 90.00°. The inequivalent atoms are Bi at (0.149, 0.250, 0.337), Sb at (0.443, 0.250, 0.834), O at (0.158, 0.250, 0.038) and O at (0.240, 0.007, 0.672).

(5)
This record from Alexandria describes a relaxed structure of Pm2DyC. The functional is GGA-PBE.

Its energy is -4.86 eV/atom. Its formation enthalpy at 0 K is 970.3 meV per atom. As for the density of states at the Fermi level: 1.187 states/eV per atom.

It has space group R-3m (No. 166, hexagonal axes), with a = 5.8920 Å, b = 5.8920 Å, c = 11.4519 Å, α = 90.00°, β = 90.00° and γ = 120.00°. The inequivalent atoms are Pm at (0.0000, 0.0000, 0.1988), Dy at (0.0000, 0.0000, 0.5000) and C at (0.0000, 0.0000, 0.0000).

(6)
This record from Alexandria describes a relaxed structure of ThInCoPd. The functional is GGA-PBE.

Its energy is -5.99 eV/atom. Its formation enthalpy at 0 K is -373.1 meV per atom. As for the density of states at the Fermi level: 0.842 states/eV per atom.

It has space group F-43m (No. 216), with a = 6.829 Å, b = 6.829 Å, c = 6.829 Å, α = 90.00°, β = 90.00° and γ = 90.00°. The inequivalent atoms are Th at (0.000, 0.000, 0.000), In at (0.000, 0.000, 0.500), Co at (0.250, 0.250, 0.250) and Pd at (0.250, 0.250, 0.750).

(7)
This record from Alexandria describes a relaxed structure of Zr2CdPb. The functional is GGA-PBE.

Its energy is -5.57 eV/atom. Its formation enthalpy at 0 K is -144.4 meV per atom. As for the density of states at the Fermi level: 0.471 states/eV per atom.

It has space group Cmmm (No. 65), with a = 6.381 Å, b = 8.825 Å, c = 3.214 Å, α = 90.00°, β = 90.00° and γ = 90.00°. The inequivalent atoms are Zr at (0.250, 0.250, 0.000), Cd at (0.000, 0.000, 0.500) and Pb at (0.000, 0.500, 0.500).

(8)
This record from Alexandria describes a relaxed structure of NdPtAu. The functional is GGA-PBE.

The energy above the lowest structure with this stoichiometry is 0.059 eV per atom. Its energy is -5.53 eV/atom. Its formation enthalpy at 0 K is -830.8 meV per atom. As for the density of states at the Fermi level: 0.298 states/eV per atom.

It has space group I4mm (No. 107), with a = 3.802 Å, b = 3.802 Å, c = 9.174 Å, α = 90.00°, β = 90.00° and γ = 90.00°. The inequivalent atoms are Nd at (0.000, 0.000, 0.000), Pt at (0.000, 0.000, 0.344) and Au at (0.000, 0.000, 0.673).

(9)
This record from Alexandria describes a relaxed structure of LaDy3Ga4. The functional is GGA-PBE.

Its energy is -4.43 eV/atom. Its formation enthalpy at 0 K is -570.5 meV per atom. As for the density of states at the Fermi level: 0.443 states/eV per atom.

It has space group Pmma (No. 51), with a = 10.254 Å, b = 7.242 Å, c = 5.128 Å, α = 90.00°, β = 90.00° and γ = 90.00°. The inequivalent atoms are La at (0.000, 0.000, 0.000), Dy at (0.000, 0.500, 0.000), Dy at (0.250, 0.000, 0.498), Dy at (0.250, 0.500, 0.498), Ga at (0.000, 0.262, 0.500) and Ga at (0.250, 0.262, 0.997).

(10)
This record from Alexandria describes a relaxed structure of Ag3Sn2Cl8. The functional is GGA-PBE.

The value obtained for the raw formation energy is -0.67 eV/atom. Its energy is -3.08 eV/atom. As for the density of states at the Fermi level: 0.413 states/eV per atom.

It has space group C2/m (No. 12), with a = 15.024 Å, b = 7.888 Å, c = 6.643 Å, α = 90.00°, β = 113.31° and γ = 90.00°. The inequivalent atoms are Ag at (0.000, 0.000, 0.000), Ag at (0.000, 0.259, 0.500), Sn at (0.216, 0.500, 0.186), Cl at (0.105, 0.000, 0.415), Cl at (0.117, 0.251, 0.937) and Cl at (0.120, 0.500, 0.431).

(11)
This record from Alexandria describes a relaxed structure of Ce3C. The functional is GGA-PBE.

The energy above the lowest structure with this stoichiometry is 0.379 eV per atom. Its energy is -6.41 eV/atom. Its formation enthalpy at 0 K is 347.3 meV per atom. As for the density of states at the Fermi level: 2.406 states/eV per atom.

It has space group Pmm2 (No. 25), with a = 3.738 Å, b = 4.005 Å, c = 5.524 Å, α = 90.00°, β = 90.00° and γ = 90.00°. The inequivalent atoms are Ce at (0.000, 0.000, 0.000), Ce at (0.000, 0.500, 0.440), Ce at (0.500, 0.500, 0.842) and C at (0.500, 0.000, 0.581).

(12)
This record from Alexandria describes a relaxed structure of TbDyAl6. The functional is GGA-PBE.

The energy above the lowest structure with this stoichiometry is 0.351 eV per atom. Its energy is -4.05 eV/atom. Its formation enthalpy at 0 K is -84.5 meV per atom. As for the density of states at the Fermi level: 0.650 states/eV per atom.

It has space group Pm-3 (No. 200), with a = 5.512 Å, b = 5.512 Å, c = 5.512 Å, α = 90.00°, β = 90.00° and γ = 90.00°. The inequivalent atoms are Tb at (0.000, 0.000, 0.000), Dy at (0.500, 0.500, 0.500) and Al at (0.000, 0.250, 0.500).